Record 1
The following is a GGA-PBE calculation of crystalline Ac2ErHfO6 at its relaxed geometry, from Alexandria.

Lattice parameters (Å, degrees): 5.964 6.022 8.493 90.00 90.09 90.00
Element x y z (fractional)
Ac1 0.001 0.949 0.248
Ac2 0.501 0.551 0.748
Ac3 0.999 0.051 0.752
Ac4 0.499 0.449 0.252
Er1 0.500 0.000 0.000
Er2 0.000 0.500 0.500
Hf1 0.500 0.000 0.500
Hf2 0.000 0.500 0.000
O1 0.299 0.688 0.044
O2 0.799 0.812 0.544
O3 0.701 0.312 0.956
O4 0.201 0.188 0.456
O5 0.317 0.703 0.456
O6 0.817 0.797 0.956
O7 0.683 0.297 0.544
O8 0.183 0.203 0.044
O9 0.916 0.528 0.242
O10 0.416 0.972 0.742
O11 0.084 0.472 0.758
O12 0.584 0.028 0.258

Summary:
The value obtained for the mass density is 9.8 g/cm³. The calculation puts the calculated volume at 305 Å³/cell. For the formation energy (no corrections), the calculation gives -33.08 eV/f.u.


Record 2
The following is a GGA-PBE calculation of crystalline BaCuCl2 at its relaxed geometry, from Alexandria.

Lattice parameters (Å, degrees): 5.297 5.297 5.297 60.00 60.00 60.00
Last column: magnetic moment on the atom in μB.
Element x y z (fractional)
Ba1 0.500 0.500 0.500  0.04
Cu1 0.000 0.000 0.000  0.17
Cl1 0.250 0.250 0.250  0.07
Cl2 0.750 0.750 0.750  0.07

Summary:
The value obtained for the mass density is 4.3 g/cm³. The calculation puts the calculated volume at 105 Å³/cell. For the formation energy (no corrections), the calculation gives -4.52 eV/f.u.


Record 3
The following is a GGA-PBE calculation of crystalline LiTeRh2 at its relaxed geometry, from Alexandria.

Lattice parameters (Å, degrees): 4.804 4.804 4.234 73.30 73.30 42.44
Element x y z (fractional)
Li1 0.744 0.744 0.796
Rh1 0.005 0.005 0.943
Rh2 0.244 0.244 0.298
Te1 0.508 0.508 0.464

Summary:
The value obtained for the mass density is 9.0 g/cm³. The calculation puts the calculated volume at 63 Å³/cell. For the formation energy (no corrections), the calculation gives -1.10 eV/f.u.


Record 4
The following is a GGA-PBE calculation of crystalline VGaTcOs at its relaxed geometry, from Alexandria.

Lattice parameters (Å, degrees): 4.293 4.293 4.293 60.00 60.00 60.00
Element x y z (fractional)
Os1 0.500 0.500 0.500
Tc1 0.000 0.000 0.000
Ga1 0.250 0.250 0.250
V1 0.750 0.750 0.750

Summary:
The value obtained for the mass density is 12.1 g/cm³. For the formation energy, the calculation gives -0.2576 eV/atom. The calculation puts the calculated volume at 56 Å³/cell.